The following is a PBE-GGA calculation of a relaxed LaScTaIr2 crystal, from the Alexandria database.

The formation energy is -0.7104 eV per atom. For the magnetization, the calculation gives 0.00 μB per atom.

a = 4.4574 Å, b = 4.4574 Å, c = 10.9053 Å
α = 90.00°, β = 90.00°, γ = 90.00°
Closest atoms and distances in Å follow each position.
Space group I-4m2 (No. 119)
Unique sites:
La 0.0000 0.0000 0.0000 (multiplicity 2)  8 Ir 3.42, 4 Ta 3.52, 4 Sc 3.52
Sc 0.0000 0.5000 0.7500 (multiplicity 2)  4 Ir 2.63
Ta 0.0000 0.5000 0.2500 (multiplicity 2)  4 Ir 2.63
Ir 0.0000 0.0000 0.3785 (multiplicity 4)  2 Ta 2.63, 2 Sc 2.63, 1 Ir 2.65